Computed, not measured: a geometry-optimized Co2Ru2F structure at the PBE with a Hubbard U level of DFT. Values from VASP.

Output
SG: Imm2
energy relative to the lowest polymorph listed for this composition: 13 meV/atom
Fermi-level density of states: 7.62 states/eV per cell
E: -60.604 eV/cell

Quantum ESPRESSO input file:
```
&SYSTEM
  ibrav = 0, nat = 10, ntyp = 3
/
ATOMIC_SPECIES
Ru 101.07 Ru.upf
F 19.00 F.upf
Co 58.93 Co.upf
CELL_PARAMETERS angstrom
2.7725 0.0000 0.0000
0.0000 3.4309 0.0000
0.0000 0.0000 15.7627
ATOMIC_POSITIONS crystal
Ru 0.0000 0.0000 0.0621
Ru 0.5000 0.5000 0.9812
Ru 0.0000 0.0000 0.4812
Ru 0.5000 0.5000 0.5621
F 0.5000 0.5000 0.8516
F 0.0000 0.0000 0.3516
Co 0.0000 0.0000 0.6533
Co 0.5000 0.5000 0.7294
Co 0.5000 0.5000 0.1533
Co 0.0000 0.0000 0.2294
```